This record from Alexandria via LeMat-Bulk describes an optimized crystal structure of SrNi2F8. The functional is PBE+U.

Results
total energy: -46.2 eV for the cell shown
V: 163.47 Å³ per cell
spin magnetization: 6.1 μB/f.u.

```
SrNi2F8
1.0
6.890 0.000 0.000
-3.445 5.967 0.000
0.000 0.000 3.974
Sr Ni F
1 2 8
Cartesian
0.000 0.000 0.000
0.000 3.978 1.204
3.445 1.989 2.771
-0.005 2.172 1.101
-1.561 4.885 1.101
0.000 3.978 3.122
1.879 1.091 2.874
1.566 4.876 1.101
3.445 1.989 0.852
5.006 1.082 2.874
3.450 3.795 2.874
```